1.
Compound: La2TmTe2N2
Source: the Alexandria database
Functional: PBE
Structure: optimized geometry

Calculated values
* formation energy without anion corrections: -1.3740 eV per atom
* space group: No. 139

The structure in CIF format:
```
data_La2TmTe2N2
_cell_length_a 4.4365
_cell_length_b 4.4365
_cell_length_c 8.8971
_cell_angle_alpha 104.44
_cell_angle_beta 104.44
_cell_angle_gamma 90.00
_symmetry_space_group_name_H-M 'P 1'
_symmetry_Int_Tables_number 1
_symmetry_space_group_name_Hall 'P 1'
loop_
_atom_site_label
_atom_site_type_symbol
_atom_site_fract_x
_atom_site_fract_y
_atom_site_fract_z
N1 N 0.0000 0.5000 0.0000
N2 N 0.5000 0.0000 0.0000
Tm1 Tm 0.0000 0.0000 0.0000
Te1 Te 0.8164 0.8164 0.6329
Te2 Te 0.1836 0.1836 0.3671
La1 La 0.6023 0.6023 0.2046
La2 La 0.3977 0.3977 0.7954
```

2.
Compound: BaIn2Pt
Source: the Alexandria database
Functional: PBE
Structure: optimized geometry

Calculated values
* space group: No. 99
* ΔH_f (0 K): -0.42 eV per atom

The structure in CIF format:
```
data_BaIn2Pt
_cell_length_a 4.4662
_cell_length_b 4.4667
_cell_length_c 6.2064
_cell_angle_alpha 89.96
_cell_angle_beta 90.00
_cell_angle_gamma 90.00
_symmetry_space_group_name_H-M 'P 1'
_symmetry_Int_Tables_number 1
_symmetry_space_group_name_Hall 'P 1'
loop_
_atom_site_label
_atom_site_type_symbol
_atom_site_fract_x
_atom_site_fract_y
_atom_site_fract_z
Pt1 Pt 0.0000 0.3748 0.4494
In1 In 0.0000 0.8752 0.1822
In2 In 0.5000 0.3750 0.1824
Ba1 Ba 0.5000 0.8750 0.6860
```

3.
Compound: TbDyPt
Source: the Alexandria database
Functional: PBE
Structure: optimized geometry

Calculated values
* energy above the most stable polymorph in this dataset: 0.191 eV/atom
* space group: No. 156
* ΔH_f (0 K): -0.68 eV per atom

The structure in CIF format:
```
data_TbDyPt
_cell_length_a 4.1594
_cell_length_b 4.6345
_cell_length_c 4.6345
_cell_angle_alpha 120.00
_cell_angle_beta 90.00
_cell_angle_gamma 90.00
_symmetry_space_group_name_H-M 'P 1'
_symmetry_Int_Tables_number 1
_symmetry_space_group_name_Hall 'P 1'
loop_
_atom_site_label
_atom_site_type_symbol
_atom_site_fract_x
_atom_site_fract_y
_atom_site_fract_z
Tb1 Tb 0.5971 0.6667 0.3333
Dy1 Dy 0.0749 0.0000 0.0000
Pt1 Pt 0.3280 0.3333 0.6667
```

4.
Compound: ThCdF
Source: the Alexandria database
Functional: PBE
Structure: optimized geometry

Calculated values
* formation energy without anion corrections: -1.3280 eV per atom
* space group: No. 38

The structure in CIF format:
```
data_ThCdF
_cell_length_a 3.4898
_cell_length_b 3.4904
_cell_length_c 15.2734
_cell_angle_alpha 90.00
_cell_angle_beta 90.00
_cell_angle_gamma 119.99
_symmetry_space_group_name_H-M 'P 1'
_symmetry_Int_Tables_number 1
_symmetry_space_group_name_Hall 'P 1'
loop_
_atom_site_label
_atom_site_type_symbol
_atom_site_fract_x
_atom_site_fract_y
_atom_site_fract_z
Cd1 Cd 0.5408 0.0816 0.5000
Cd2 Cd 0.5584 0.1169 0.0000
F1 F 0.5584 0.1169 0.7173
F2 F 0.5584 0.1169 0.2827
Th1 Th 0.2252 0.4505 0.8195
Th2 Th 0.2252 0.4505 0.1805
```

5.
Compound: Cu3Au2
Source: the Alexandria database
Functional: PBE
Structure: optimized geometry

Calculated values
* energy above the most stable polymorph in this dataset: 0.021 eV/atom
* space group: No. 71
* ΔH_f (0 K): -0.01 eV per atom

The structure in CIF format:
```
data_Cu3Au2
_cell_length_a 2.7779
_cell_length_b 7.7241
_cell_length_c 3.5609
_cell_angle_alpha 103.33
_cell_angle_beta 90.00
_cell_angle_gamma 79.64
_symmetry_space_group_name_H-M 'P 1'
_symmetry_Int_Tables_number 1
_symmetry_space_group_name_Hall 'P 1'
loop_
_atom_site_label
_atom_site_type_symbol
_atom_site_fract_x
_atom_site_fract_y
_atom_site_fract_z
Cu1 Cu 0.2000 0.6000 0.8000
Cu2 Cu 0.7853 0.4294 0.2147
Cu3 Cu 0.6147 0.7706 0.3853
Au1 Au 0.0142 0.9716 0.9858
Au2 Au 0.3858 0.2284 0.6142
```

6.
Compound: Pm6TlNi
Source: the Alexandria database
Functional: PBE
Structure: optimized geometry

Calculated values
* space group: No. 12
* ΔH_f (0 K): -0.02 eV per atom

The structure in CIF format:
```
data_Pm6TlNi
_cell_length_a 6.4434
_cell_length_b 7.9800
_cell_length_c 6.5216
_cell_angle_alpha 52.28
_cell_angle_beta 80.31
_cell_angle_gamma 74.02
_symmetry_space_group_name_H-M 'P 1'
_symmetry_Int_Tables_number 1
_symmetry_space_group_name_Hall 'P 1'
loop_
_atom_site_label
_atom_site_type_symbol
_atom_site_fract_x
_atom_site_fract_y
_atom_site_fract_z
Pm1 Pm 0.6463 0.7752 0.0000
Pm2 Pm 0.2152 0.8103 0.6129
Pm3 Pm 0.7848 0.1897 0.3871
Pm4 Pm 0.7848 0.5767 0.6129
Pm5 Pm 0.2152 0.4233 0.3871
Pm6 Pm 0.3537 0.2248 0.0000
Tl1 Tl 0.0000 0.0000 0.0000
Ni1 Ni 0.5000 0.5000 0.0000
```

7.
Compound: LiY5Rh4
Source: the Alexandria database
Functional: PBE
Structure: optimized geometry

Calculated values
* space group: No. 123
* ΔH_f (0 K): -0.67 eV per atom

The structure in CIF format:
```
data_LiY5Rh4
_cell_length_a 3.4663
_cell_length_b 3.4663
_cell_length_c 17.9152
_cell_angle_alpha 90.00
_cell_angle_beta 90.00
_cell_angle_gamma 90.00
_symmetry_space_group_name_H-M 'P 1'
_symmetry_Int_Tables_number 1
_symmetry_space_group_name_Hall 'P 1'
loop_
_atom_site_label
_atom_site_type_symbol
_atom_site_fract_x
_atom_site_fract_y
_atom_site_fract_z
Y1 Y 0.5000 0.5000 0.6903
Y2 Y 0.5000 0.5000 0.8777
Y3 Y 0.5000 0.5000 0.3097
Y4 Y 0.5000 0.5000 0.5000
Y5 Y 0.5000 0.5000 0.1223
Li1 Li 0.0000 0.0000 0.0000
Rh1 Rh 0.0000 0.0000 0.5956
Rh2 Rh 0.0000 0.0000 0.4044
Rh3 Rh 0.0000 0.0000 0.7899
Rh4 Rh 0.0000 0.0000 0.2101
```

8.
Compound: PrSm4Ho4
Source: the Alexandria database
Functional: PBE
Structure: optimized geometry

Calculated values
* space group: No. 2
* ΔH_f (0 K): 0.02 eV per atom

The structure in CIF format:
```
data_PrSm4Ho4
_cell_length_a 10.7808
_cell_length_b 9.5084
_cell_length_c 10.7728
_cell_angle_alpha 75.47
_cell_angle_beta 93.13
_cell_angle_gamma 145.03
_symmetry_space_group_name_H-M 'P 1'
_symmetry_Int_Tables_number 1
_symmetry_space_group_name_Hall 'P 1'
loop_
_atom_site_label
_atom_site_type_symbol
_atom_site_fract_x
_atom_site_fract_y
_atom_site_fract_z
Ho1 Ho 0.2206 0.3051 0.5275
Ho2 Ho 0.8880 0.4713 0.3626
Ho3 Ho 0.4429 0.8615 0.3074
Ho4 Ho 0.3315 0.5839 0.9147
Ho5 Ho 0.6685 0.4161 0.0853
Ho6 Ho 0.5571 0.1385 0.6926
Ho7 Ho 0.7794 0.6949 0.4725
Ho8 Ho 0.1120 0.5287 0.6374
Pr1 Pr 0.4456 0.3614 0.8040
Pr2 Pr 0.5544 0.6386 0.1960
Sm1 Sm 0.6665 0.9187 0.5823
Sm2 Sm 0.9992 0.2502 0.2510
Sm3 Sm 0.8896 0.9740 0.8594
Sm4 Sm 0.3335 0.0813 0.4177
Sm5 Sm 0.1104 0.0260 0.1406
Sm6 Sm 0.0008 0.7498 0.7490
Sm7 Sm 0.2231 0.8055 0.0287
Sm8 Sm 0.7769 0.1945 0.9713
```

9.
Compound: CuAg6Au2
Source: the Alexandria database
Functional: PBE
Structure: optimized geometry

Calculated values
* energy above the most stable polymorph in this dataset: 0.015 eV/atom
* space group: No. 12
* ΔH_f (0 K): 0.04 eV per atom

The structure in CIF format:
```
data_CuAg6Au2
_cell_length_a 3.0376
_cell_length_b 8.1020
_cell_length_c 8.1020
_cell_angle_alpha 125.81
_cell_angle_beta 85.12
_cell_angle_gamma 85.12
_symmetry_space_group_name_H-M 'P 1'
_symmetry_Int_Tables_number 1
_symmetry_space_group_name_Hall 'P 1'
loop_
_atom_site_label
_atom_site_type_symbol
_atom_site_fract_x
_atom_site_fract_y
_atom_site_fract_z
Cu1 Cu 0.0000 0.0000 0.0000
Au1 Au 0.5000 0.8487 0.1513
Au2 Au 0.5000 0.1513 0.8487
Ag1 Ag 0.6671 0.6759 0.6759
Ag2 Ag 0.3329 0.3241 0.3241
Ag3 Ag 0.8218 0.5039 0.1678
Ag4 Ag 0.1782 0.8322 0.4961
Ag5 Ag 0.1782 0.4961 0.8322
Ag6 Ag 0.8218 0.1678 0.5039
```

10.
Compound: CaCdAu
Source: the Alexandria database
Functional: PBE
Structure: optimized geometry

Calculated values
* space group: No. 11
* ΔH_f (0 K): -0.50 eV per atom

The structure in CIF format:
```
data_CaCdAu
_cell_length_a 4.8082
_cell_length_b 5.2641
_cell_length_c 6.3009
_cell_angle_alpha 90.00
_cell_angle_beta 112.42
_cell_angle_gamma 90.00
_symmetry_space_group_name_H-M 'P 1'
_symmetry_Int_Tables_number 1
_symmetry_space_group_name_Hall 'P 1'
loop_
_atom_site_label
_atom_site_type_symbol
_atom_site_fract_x
_atom_site_fract_y
_atom_site_fract_z
Cd1 Cd 0.5886 0.2500 0.1800
Cd2 Cd 0.4114 0.7500 0.8200
Au1 Au 0.2243 0.2500 0.4519
Au2 Au 0.7757 0.7500 0.5481
Ca1 Ca 0.1138 0.7500 0.2252
Ca2 Ca 0.8862 0.2500 0.7748
```

11.
Compound: Hf5IrRh2
Source: the Alexandria database
Functional: PBE
Structure: optimized geometry

Calculated values
* space group: No. 140
* ΔH_f (0 K): -0.68 eV per atom

The structure in CIF format:
```
data_Hf5IrRh2
_cell_length_a 6.6759
_cell_length_b 6.6760
_cell_length_c 8.3876
_cell_angle_alpha 113.45
_cell_angle_beta 113.45
_cell_angle_gamma 90.00
_symmetry_space_group_name_H-M 'P 1'
_symmetry_Int_Tables_number 1
_symmetry_space_group_name_Hall 'P 1'
loop_
_atom_site_label
_atom_site_type_symbol
_atom_site_fract_x
_atom_site_fract_y
_atom_site_fract_z
Hf1 Hf 0.1775 0.0156 0.6931
Hf2 Hf 0.4844 0.3225 0.3069
Hf3 Hf 0.8225 0.9844 0.3069
Hf4 Hf 0.9844 0.4844 0.3069
Hf5 Hf 0.6775 0.1775 0.6931
Hf6 Hf 0.5000 0.5000 0.0000
Hf7 Hf 0.3225 0.8225 0.3069
Hf8 Hf 0.0000 0.0000 0.0000
Hf9 Hf 0.0156 0.5156 0.6931
Hf10 Hf 0.5156 0.6775 0.6931
Rh1 Rh 0.8608 0.6392 0.0000
Rh2 Rh 0.6392 0.1392 0.0000
Rh3 Rh 0.1392 0.3608 0.0000
Rh4 Rh 0.3608 0.8608 0.0000
Ir1 Ir 0.2500 0.2500 0.5000
Ir2 Ir 0.7500 0.7500 0.5000
```

12.
Compound: CaPCl2O
Source: the Alexandria database
Functional: PBE
Structure: optimized geometry

Calculated values
* formation energy without anion corrections: 0.0191 eV per atom
* energy above the most stable polymorph in this dataset: 0.793 eV/atom
* space group: No. 123

The structure in CIF format:
```
data_CaPCl2O
_cell_length_a 5.1838
_cell_length_b 5.1838
_cell_length_c 7.2466
_cell_angle_alpha 90.00
_cell_angle_beta 90.00
_cell_angle_gamma 90.00
_symmetry_space_group_name_H-M 'P 1'
_symmetry_Int_Tables_number 1
_symmetry_space_group_name_Hall 'P 1'
loop_
_atom_site_label
_atom_site_type_symbol
_atom_site_fract_x
_atom_site_fract_y
_atom_site_fract_z
O1 O 0.5000 0.5000 0.5000
Cl1 Cl 0.5000 0.0000 0.0000
Cl2 Cl 0.0000 0.5000 0.0000
P1 P 0.0000 0.0000 0.5000
Ca1 Ca 0.0000 0.0000 0.0000
```

Calculated values (Mg/m³) of ρ for the records, taken in order: 7.4; 7.5; 11.1; 7.5; 13.3; 7.4; 6.7; 7.9; 11.5; 7.9; 13.9; 1.3.
Calculated values (eV/atom) of E for the records, taken in order: -6.6969; -3.7774; -5.7668; -4.7301; -3.7768; -4.6001; -7.0346; -4.6456; -3.0409; -2.5671; -9.8417; -3.1935.